1.
Density functional theory data (SCAN) for a crystal of KAg2As relaxed with PBEsol.

E_tot (eV per atom): -22.78
Formation energy from the elements (kcal/mol of atoms): 0.8

Cell lengths 2.947, 4.067, 7.444 Å; angles 90.00, 90.00, 90.00 degrees
Space group Pmm2 (No. 25)
Asymmetric unit:
K 0.000 0.000 0.000 (multiplicity 1)
Ag 0.000 0.000 0.521 (multiplicity 1)
Ag 0.500 0.500 0.333 (multiplicity 1)
As 0.500 0.500 0.693 (multiplicity 1)

---

2.
Density functional theory data (SCAN) for a crystal of Sc2Fe2H relaxed with PBEsol.

E_tot (eV per atom): -13.16

Cell lengths 4.935, 4.935, 5.724 Å; angles 90.00, 90.00, 90.00 degrees
Space group I4/mmm (No. 139)
Asymmetric unit:
Sc 0.000 0.500 0.250 (multiplicity 4)
Fe 0.000 0.000 0.199 (multiplicity 4)
H 0.000 0.000 0.500 (multiplicity 2)

---

3.
Density functional theory data (SCAN) for a crystal of KHgOs3 relaxed with PBEsol.

E_tot (eV per atom): -54.38
Formation energy from the elements (kcal/mol of atoms): 93.3

Cell lengths 4.547, 4.547, 4.547 Å; angles 90.00, 90.00, 90.00 degrees
Space group Pm-3m (No. 221)
Asymmetric unit:
K 0.000 0.000 0.000 (multiplicity 1)
Hg 0.500 0.500 0.500 (multiplicity 1)
Os 0.000 0.000 0.500 (multiplicity 3)

---

no.,total magnetic moment (μB/atom)
1,0.000
2,0.426
3,0.459